No. 1
LiLa6Ni2 | Alexandria via LeMat-Bulk | PBE-GGA | relaxed; energy of formation = -0.144 eV per atom; M_tot = 0.000 μB per formula unit
1.0
-4.859 5.138 5.286
4.859 -5.138 5.286
4.859 5.138 -5.286
Li La Ni
2 12 4
Cartesian
0.000 0.000 0.000
0.000 0.000 5.286
4.859 3.077 -2.918
2.868 1.809 0.000
6.849 1.809 0.000
1.836 5.138 -1.857
3.023 0.000 3.429
0.000 2.061 2.368
4.859 3.077 2.918
1.836 5.138 1.857
3.023 0.000 7.143
-1.990 3.329 5.286
1.990 3.329 5.286
0.000 2.061 8.204
4.859 0.000 1.340
0.000 3.517 0.000
0.000 6.758 0.000
0.000 5.138 3.946

---

No. 2
LiTbAl | Alexandria via LeMat-Bulk | PBE-GGA | relaxed; energy of formation = -0.094 eV per atom; energy above the lowest structure with this stoichiometry = 2.54 kcal/mol of atoms; M_tot = 0.288 μB per formula unit
1.0
-1.714 1.714 5.576
1.714 -1.714 5.576
1.714 1.714 -5.576
Li Tb Al
1 1 1
Cartesian
0.000 0.000 0.000
0.000 0.000 3.318
0.000 0.000 6.899

---

No. 3
Cu5Ni | Alexandria via LeMat-Bulk | PBE-GGA | relaxed; energy of formation = 0.002 eV per atom; energy above the lowest structure with this stoichiometry = 0.08 kcal/mol of atoms; M_tot = 0.000 μB per formula unit
1.0
2.194 -3.858 0.000
2.194 3.858 0.000
-1.420 0.000 4.145
Cu Ni
5 1
Cartesian
0.000 0.000 0.000
1.484 2.571 2.073
2.194 1.274 0.000
2.194 -1.274 0.000
1.484 -2.571 2.073
1.484 0.000 2.073

---

So what do the calculations give for DFT total energy? Going down the list: -4.93 -3.52 -4.38 eV/atom.